# Tm4ZnCd3, optimized geometry, DFT GGA-PBE
data_Tm4ZnCd3
_chemical_formula_sum 'Tm4 Zn1 Cd3'
_symmetry_space_group_name_H-M 'P 4/m m m'
_symmetry_Int_Tables_number 123
_symmetry_space_group_name_Hall '-P 4 2'
_cell_length_a 3.628
_cell_length_b 3.628
_cell_length_c 14.813
_cell_angle_alpha 90.00
_cell_angle_beta 90.00
_cell_angle_gamma 90.00
loop_
_atom_site_label
_atom_site_type_symbol
_atom_site_fract_x
_atom_site_fract_y
_atom_site_fract_z
Tm1 Tm 0.000 0.000 0.114
Tm2 Tm 0.000 0.000 0.372
Zn1 Zn 0.500 0.500 0.000
Cd1 Cd 0.500 0.500 0.244
Cd2 Cd 0.500 0.500 0.500
# D(E_F) ... 0.9365 states/eV per atom
# Size of the total moment ... 0.00 Bohr magnetons per cell
# Total energy ... -24.4 eV for the cell shown
# Volume ... 194.9 Å³ per cell